The following is a DFT calculation (GGA+U) of an optimized crystal structure of MnZnO2.

Geometry as POSCAR:
```
MnZnO2
1.0
4.739 0.000 0.000
0.000 4.739 0.000
2.370 2.370 4.724
O Mn Zn
4 2 2
direct
0.640 0.125 0.250 O
0.375 0.360 0.750 O
0.110 0.625 0.250 O
0.875 0.890 0.750 O
0.500 0.500 0.000 Mn
0.250 0.750 0.500 Mn
0.000 0.000 0.000 Zn
0.750 0.250 0.500 Zn
```

Output
Size of the total moment, μB per atom: 1.250
V, A^3/atom: 13.3
VASP energy, eV/atom: -6.169